Record 1
17
Lattice="8.740 0.000 0.000 -4.370 7.569 0.000 0.000 0.000 6.178" Properties=species:S:1:pos:R:3 comment="Cd10GaHg6 | Alexandria | GGA-PBE | optimized geometry" e_form_ev_per_atom=0.06 pbc="T T T"
Cd -1.135 1.967 1.826
Cd -3.235 5.603 4.352
Cd 2.271 0.000 1.826
Cd 1.135 1.967 4.352
Cd 0.000 5.046 0.000
Cd 0.000 5.046 3.089
Cd 4.370 2.523 0.000
Cd 4.370 2.523 3.089
Cd 6.470 0.000 4.352
Cd 3.235 5.603 1.826
Ga 0.000 0.000 0.000
Hg -1.690 2.927 4.774
Hg -2.680 4.642 1.404
Hg 3.380 0.000 4.774
Hg 1.690 2.927 1.404
Hg 5.360 0.000 1.404
Hg 2.680 4.642 4.774


Record 2
8
Lattice="4.220 0.000 0.000 0.000 4.220 0.000 0.000 0.000 8.800" Properties=species:S:1:pos:R:3 comment="ZrCrCd2 | Alexandria | GGA-PBE | optimized geometry" e_form_ev_per_atom=0.19 pbc="T T T"
Zr 0.000 0.000 0.000
Zr 2.110 2.110 4.400
Cr 0.000 0.000 4.400
Cr 2.110 2.110 0.000
Cd 0.000 2.110 2.200
Cd 0.000 2.110 6.600
Cd 2.110 0.000 2.200
Cd 2.110 0.000 6.600


Record 3
16
Lattice="4.937 0.000 0.000 0.000 4.937 0.000 0.000 0.000 20.036" Properties=species:S:1:pos:R:3 comment="Sm3Er12Tl | Alexandria | GGA-PBE | optimized geometry" e_form_ev_per_atom=-0.02 pbc="T T T"
Sm 0.000 0.000 0.000
Sm 0.000 0.000 5.033
Sm 0.000 0.000 15.002
Er 0.000 2.468 2.533
Er 0.000 2.468 7.592
Er 0.000 2.468 12.444
Er 0.000 2.468 17.503
Er 2.468 0.000 2.533
Er 2.468 0.000 7.592
Er 2.468 0.000 12.444
Er 2.468 0.000 17.503
Er 2.468 2.468 0.000
Er 2.468 2.468 5.135
Er 2.468 2.468 10.018
Er 2.468 2.468 14.901
Tl 0.000 0.000 10.018